1.
A plane-wave DFT calculation with PBE was carried out for crystalline LaTiTcB2 at its relaxed geometry.

Computed properties:
Raw total energy ... -32.92 eV for the cell shown

CIF file:
```
data_LaTiTcB2
_chemical_formula_sum 'La1 Ti1 Tc1 B2'
_cell_length_a 4.362
_cell_length_b 4.362
_cell_length_c 4.583
_cell_angle_alpha 90.00
_cell_angle_beta 90.00
_cell_angle_gamma 90.00
_space_group_name_H-M_alt 'P 4/m m m'
_space_group_IT_number 123
_space_group_name_Hall '-P 4 2'
loop_
_atom_site_label
_atom_site_fract_x
_atom_site_fract_y
_atom_site_fract_z
La1 0.000 0.000 0.000
Ti1 0.500 0.500 0.500
Tc1 0.500 0.500 0.000
B1 0.000 0.500 0.500
```

=====

2.
A plane-wave DFT calculation with PBE was carried out for crystalline La2ZrTcB at its relaxed geometry.

Computed properties:
Raw total energy ... -32.78 eV for the cell shown

CIF file:
```
data_La2ZrTcB
_chemical_formula_sum 'La2 Zr1 Tc1 B1'
_cell_length_a 5.191
_cell_length_b 5.191
_cell_length_c 4.561
_cell_angle_alpha 90.00
_cell_angle_beta 90.00
_cell_angle_gamma 90.00
_space_group_name_H-M_alt 'P 4/m m m'
_space_group_IT_number 123
_space_group_name_Hall '-P 4 2'
loop_
_atom_site_label
_atom_site_fract_x
_atom_site_fract_y
_atom_site_fract_z
La1 0.000 0.500 0.000
Zr1 0.000 0.000 0.500
Tc1 0.500 0.500 0.500
B1 0.000 0.000 0.000
```

=====

3.
A plane-wave DFT calculation with PBE was carried out for crystalline LaBTe3 at its relaxed geometry.

Computed properties:
Energy relative to the elements, uncorrected ... -0.178 eV/atom

CIF file:
```
data_LaBTe3
_chemical_formula_sum 'La1 B1 Te3'
_cell_length_a 5.039
_cell_length_b 5.039
_cell_length_c 5.039
_cell_angle_alpha 90.00
_cell_angle_beta 90.00
_cell_angle_gamma 90.00
_space_group_name_H-M_alt 'P m -3 m'
_space_group_IT_number 221
_space_group_name_Hall '-P 4 2 3'
loop_
_atom_site_label
_atom_site_fract_x
_atom_site_fract_y
_atom_site_fract_z
La1 0.000 0.000 0.000
B1 0.500 0.500 0.500
Te1 0.000 0.500 0.500
```

=====

4.
A plane-wave DFT calculation with PBE was carried out for crystalline LaBTe at its relaxed geometry.

Computed properties:
Energy relative to the elements, uncorrected ... -0.613 eV/atom

CIF file:
```
data_LaBTe
_chemical_formula_sum 'La4 B4 Te4'
_cell_length_a 8.441
_cell_length_b 4.332
_cell_length_c 8.576
_cell_angle_alpha 90.00
_cell_angle_beta 104.71
_cell_angle_gamma 90.00
_space_group_name_H-M_alt 'P 1 21/c 1'
_space_group_IT_number 14
_space_group_name_Hall '-P 2ybc'
loop_
_atom_site_label
_atom_site_fract_x
_atom_site_fract_y
_atom_site_fract_z
La1 0.192 0.224 0.306
B1 0.052 0.641 0.474
Te1 0.329 0.749 0.093
```

=====

5.
A plane-wave DFT calculation with PBE was carried out for crystalline LaB2Te at its relaxed geometry.

Computed properties:
Energy relative to the elements, uncorrected ... 0.556 eV/atom

CIF file:
```
data_LaB2Te
_chemical_formula_sum 'La4 B8 Te4'
_cell_length_a 6.661
_cell_length_b 6.661
_cell_length_c 7.122
_cell_angle_alpha 90.00
_cell_angle_beta 90.00
_cell_angle_gamma 90.00
_space_group_name_H-M_alt 'I -4 2 d'
_space_group_IT_number 122
_space_group_name_Hall 'I -4 2bw'
loop_
_atom_site_label
_atom_site_fract_x
_atom_site_fract_y
_atom_site_fract_z
La1 0.000 0.000 0.000
B1 0.193 0.250 0.625
Te1 0.000 0.000 0.500
```

=====

6.
A plane-wave DFT calculation with PBE was carried out for crystalline LaB3Te at its relaxed geometry.

Computed properties:
Energy relative to the elements, uncorrected ... 1.340 eV/atom

CIF file:
```
data_LaB3Te
_chemical_formula_sum 'La1 B3 Te1'
_cell_length_a 4.478
_cell_length_b 4.478
_cell_length_c 4.478
_cell_angle_alpha 90.00
_cell_angle_beta 90.00
_cell_angle_gamma 90.00
_space_group_name_H-M_alt 'P m -3 m'
_space_group_IT_number 221
_space_group_name_Hall '-P 4 2 3'
loop_
_atom_site_label
_atom_site_fract_x
_atom_site_fract_y
_atom_site_fract_z
La1 0.000 0.000 0.000
B1 0.000 0.500 0.500
Te1 0.500 0.500 0.500
```